Entry 1:
Below is a relaxed structure of HPbF, with properties calculated at the PBE level.

Cell lengths 4.6536, 4.6536, 8.6863 Å; angles 90.00, 90.00, 120.00 degrees
Space group P3_2 (No. 145)
Asymmetric unit:
H1 0.1288 0.1254 0.0000 [3 per cell]
Pb1 0.0571 0.7360 0.5699 [3 per cell]
F1 0.5049 0.3447 0.5088 [3 per cell]

Calculated values
Total magnetic moment = 0.00 μB per formula unit
Relative energy among the computed polymorphs = 23 meV per atom

Entry 2:
Below is a relaxed structure of Rb2LiSn10, with properties calculated at the PBE level.

Cell lengths 8.551, 17.327, 6.485 Å; angles 90.00, 90.00, 90.00 degrees
Space group Pbam (No. 55)
Asymmetric unit:
Rb1 0.203 0.164 0.000 [4 per cell]
Li1 0.000 0.500 0.500 [2 per cell]
Sn1 0.050 0.656 0.500 [4 per cell]
Sn2 0.055 0.827 0.500 [4 per cell]
Sn3 0.173 0.032 0.500 [4 per cell]
Sn4 0.210 0.402 0.231 [8 per cell]

Calculated values
Total magnetic moment = 0.00 μB per formula unit
Formation enthalpy at 0 K = -0.086 eV per atom

Entry 3:
Below is a relaxed structure of CrAsIN2, with properties calculated at the PBE level.

Cell lengths 3.812, 3.812, 5.696 Å; angles 90.00, 90.00, 90.00 degrees
Space group P4/mmm (No. 123)
Asymmetric unit:
Cr1 0.000 0.000 0.000 [1 per cell]
As1 0.500 0.500 0.500 [1 per cell]
I1 0.000 0.000 0.500 [1 per cell]
N1 0.000 0.500 0.000 [2 per cell]

Calculated values
Total magnetic moment = 0.00 μB per formula unit
Relative energy among the computed polymorphs = 0 meV per atom
Formation energy (no corrections) = 1.0274 eV per atom

Entry 4:
Below is a relaxed structure of La2Mn2Zn, with properties calculated at the PBE level.

Cell lengths 7.234, 7.234, 4.409 Å; angles 90.00, 90.00, 90.00 degrees
Space group P4/mbm (No. 127)
Asymmetric unit:
La1 0.173 0.327 0.000 [4 per cell]
Mn1 0.129 0.629 0.500 [4 per cell]
Zn1 0.000 0.000 0.500 [2 per cell]

Calculated values
Total magnetic moment = 5.47 μB per formula unit
Formation enthalpy at 0 K = 0.139 eV per atom

Entry 5:
Below is a relaxed structure of Dy3Ho4Al4, with properties calculated at the PBE level.

Cell lengths 5.117, 6.711, 16.957 Å; angles 90.00, 90.00, 90.00 degrees
Space group Immm (No. 71)
Asymmetric unit:
Dy1 0.000 0.000 0.000 [2 per cell]
Dy2 0.000 0.500 0.100 [4 per cell]
Ho1 0.000 0.264 0.320 [8 per cell]
Al1 0.000 0.000 0.173 [4 per cell]
Al2 0.000 0.204 0.500 [4 per cell]

Calculated values
Total magnetic moment = 0.00 μB per formula unit
Formation enthalpy at 0 K = -0.182 eV per atom

Entry 6:
Below is a relaxed structure of La2TlFeGe, with properties calculated at the PBE level.

Cell lengths 5.293, 5.293, 4.634 Å; angles 90.00, 90.00, 90.00 degrees
Space group P4/mmm (No. 123)
Asymmetric unit:
La1 0.000 0.500 0.000 [2 per cell]
Tl1 0.000 0.000 0.500 [1 per cell]
Fe1 0.500 0.500 0.000 [1 per cell]
Ge1 0.500 0.500 0.500 [1 per cell]

Calculated values
Total magnetic moment = 0.00 μB per formula unit
Formation enthalpy at 0 K = -0.321 eV per atom

The records above give, respectively, energy values of -3.936, -3.462, -5.467, -5.755, -4.463, -5.381 eV/atom.